Entry 1:
Computed, not measured: FeIr2Cl after structural relaxation at the PBE level of DFT.

Values from the calculation:
Raw formation energy, eV/atom: 0.90
Volume, Å³/f.u.: 58.7
ρ, g/cm3: 13.45
Crystal system: orthorhombic
Energy above the most stable polymorph in this dataset, eV/f.u.: 2.23
Space-group type: No. 65
D(E_F), states/eV/atom: 1.3520

CIF file:
```
data_FeIr2Cl
_chemical_formula_sum 'Fe2 Ir4 Cl2'
_cell_length_a 5.6633
_cell_length_b 7.4657
_cell_length_c 2.7780
_cell_angle_alpha 90.00
_cell_angle_beta 90.00
_cell_angle_gamma 90.00
_space_group_name_H-M_alt 'P 1'
_space_group_IT_number 1
loop_
_space_group_symop_operation_xyz
'x,y,z'
loop_
_atom_site_label
_atom_site_type_symbol
_atom_site_fract_x
_atom_site_fract_y
_atom_site_fract_z
Fe1 Fe 0.0000 0.0000 0.0000
Fe2 Fe 0.5000 0.5000 0.0000
Ir1 Ir 0.2500 0.2500 0.5000
Ir2 Ir 0.2500 0.7500 0.5000
Ir3 Ir 0.7500 0.2500 0.5000
Ir4 Ir 0.7500 0.7500 0.5000
Cl1 Cl 0.0000 0.5000 0.0000
Cl2 Cl 0.5000 0.0000 0.0000
```

=====

Entry 2:
Computed, not measured: Sc2In4Co after structural relaxation at the PBE level of DFT.

Values from the calculation:
Volume, Å³/f.u.: 171.3
ρ, g/cm3: 5.90
Crystal system: tetragonal
Space-group type: No. 139
D(E_F), states/eV/atom: 0.8723
E_form, eV/f.u.: 0.4

CIF file:
```
data_Sc2In4Co
_chemical_formula_sum 'Sc4 In8 Co2'
_cell_length_a 4.8110
_cell_length_b 4.8110
_cell_length_c 14.8015
_cell_angle_alpha 90.00
_cell_angle_beta 90.00
_cell_angle_gamma 90.00
_space_group_name_H-M_alt 'P 1'
_space_group_IT_number 1
loop_
_space_group_symop_operation_xyz
'x,y,z'
loop_
_atom_site_label
_atom_site_type_symbol
_atom_site_fract_x
_atom_site_fract_y
_atom_site_fract_z
Sc1 Sc 0.0000 0.0000 0.1317
Sc2 Sc 0.0000 0.0000 0.8683
Sc3 Sc 0.5000 0.5000 0.3683
Sc4 Sc 0.5000 0.5000 0.6317
In1 In 0.0000 0.0000 0.3262
In2 In 0.0000 0.0000 0.6738
In3 In 0.0000 0.5000 0.0000
In4 In 0.0000 0.5000 0.5000
In5 In 0.5000 0.0000 0.0000
In6 In 0.5000 0.0000 0.5000
In7 In 0.5000 0.5000 0.1738
In8 In 0.5000 0.5000 0.8262
Co1 Co 0.0000 0.0000 0.5000
Co2 Co 0.5000 0.5000 0.0000
```

=====

Entry 3:
Computed, not measured: Pr6In5Bi after structural relaxation at the PBE level of DFT.

Values from the calculation:
Volume, Å³/f.u.: 358.9
ρ, g/cm3: 7.54
Crystal system: orthorhombic
Space-group type: No. 71
D(E_F), states/eV/atom: 0.7368
E_form, eV/f.u.: -6.3

CIF file:
```
data_Pr6In5Bi
_chemical_formula_sum 'Pr6 In5 Bi1'
_cell_length_a 9.3063
_cell_length_b 9.3063
_cell_length_c 9.3063
_cell_angle_alpha 147.66
_cell_angle_beta 122.54
_cell_angle_gamma 67.49
_space_group_name_H-M_alt 'P 1'
_space_group_IT_number 1
loop_
_space_group_symop_operation_xyz
'x,y,z'
loop_
_atom_site_label
_atom_site_type_symbol
_atom_site_fract_x
_atom_site_fract_y
_atom_site_fract_z
Pr1 Pr 0.0840 0.3338 0.7502
Pr2 Pr 0.2478 0.0000 0.2478
Pr3 Pr 0.4164 0.6662 0.7502
Pr4 Pr 0.5836 0.3338 0.2498
Pr5 Pr 0.7522 0.0000 0.7522
Pr6 Pr 0.9160 0.6662 0.2498
In1 In 0.0000 0.5000 0.5000
In2 In 0.1669 0.1669 0.0000
In3 In 0.3256 0.8256 0.5000
In4 In 0.6744 0.1744 0.5000
In5 In 0.8331 0.8331 0.0000
Bi1 Bi 0.5000 0.5000 0.0000
```

=====

Entry 4:
Computed, not measured: Tm2HfPaAs4 after structural relaxation at the PBE level of DFT.

Values from the calculation:
Volume, Å³/f.u.: 182.1
ρ, g/cm3: 9.55
Crystal system: monoclinic
Space-group type: No. 10
D(E_F), states/eV/atom: 0.6974
E_form, eV/f.u.: -9.9

CIF file:
```
data_Tm2HfPaAs4
_chemical_formula_sum 'Tm2 Hf1 Pa1 As4'
_cell_length_a 6.9085
_cell_length_b 4.0093
_cell_length_c 6.9650
_cell_angle_alpha 90.00
_cell_angle_beta 109.32
_cell_angle_gamma 90.00
_space_group_name_H-M_alt 'P 1'
_space_group_IT_number 1
loop_
_space_group_symop_operation_xyz
'x,y,z'
loop_
_atom_site_label
_atom_site_type_symbol
_atom_site_fract_x
_atom_site_fract_y
_atom_site_fract_z
Tm1 Tm 0.0000 0.0000 0.0000
Tm2 Tm 0.5000 0.5000 0.0000
Hf1 Hf 0.0000 0.5000 0.5000
Pa1 Pa 0.5000 0.0000 0.5000
As1 As 0.2400 0.0000 0.7410
As2 As 0.2419 0.5000 0.2516
As3 As 0.7581 0.5000 0.7484
As4 As 0.7600 0.0000 0.2590
```

=====

Entry 5:
Computed, not measured: PmHoTm4S8 after structural relaxation at the PBE level of DFT.

Values from the calculation:
Raw formation energy, eV/atom: -1.92
Volume, Å³/f.u.: 362.2
ρ, g/cm3: 5.69
Crystal system: trigonal
Space-group type: No. 160
D(E_F), states/eV/atom: 0.5955

CIF file:
```
data_PmHoTm4S8
_chemical_formula_sum 'Pm1 Ho1 Tm4 S8'
_cell_length_a 8.0096
_cell_length_b 8.0096
_cell_length_c 8.0096
_cell_angle_alpha 59.87
_cell_angle_beta 59.87
_cell_angle_gamma 59.87
_space_group_name_H-M_alt 'P 1'
_space_group_IT_number 1
loop_
_space_group_symop_operation_xyz
'x,y,z'
loop_
_atom_site_label
_atom_site_type_symbol
_atom_site_fract_x
_atom_site_fract_y
_atom_site_fract_z
Pm1 Pm 0.0000 0.0000 0.0000
Ho1 Ho 0.6249 0.6249 0.6249
Tm1 Tm 0.1274 0.6250 0.6250
Tm2 Tm 0.2509 0.2509 0.2509
Tm3 Tm 0.6250 0.1274 0.6250
Tm4 Tm 0.6250 0.6250 0.1274
S1 S 0.3808 0.3808 0.8554
S2 S 0.3808 0.8554 0.3808
S3 S 0.3829 0.3829 0.3829
S4 S 0.4090 0.8659 0.8659
S5 S 0.8554 0.3808 0.3808
S6 S 0.8636 0.8636 0.8636
S7 S 0.8659 0.4090 0.8659
S8 S 0.8659 0.8659 0.4090
```

=====

Entry 6:
Computed, not measured: KPb2Se2 after structural relaxation at the PBE level of DFT.

Values from the calculation:
Raw formation energy, eV/atom: -0.56
Volume, Å³/f.u.: 171.0
ρ, g/cm3: 5.94
Crystal system: tetragonal
Energy above the most stable polymorph in this dataset, eV/f.u.: 0.00
Space-group type: No. 139
D(E_F), states/eV/atom: 0.3071

CIF file:
```
data_KPb2Se2
_chemical_formula_sum 'K2 Pb4 Se4'
_cell_length_a 5.6668
_cell_length_b 5.6668
_cell_length_c 10.6498
_cell_angle_alpha 90.00
_cell_angle_beta 90.00
_cell_angle_gamma 90.00
_space_group_name_H-M_alt 'P 1'
_space_group_IT_number 1
loop_
_space_group_symop_operation_xyz
'x,y,z'
loop_
_atom_site_label
_atom_site_type_symbol
_atom_site_fract_x
_atom_site_fract_y
_atom_site_fract_z
K1 K 0.0000 0.0000 0.0000
K2 K 0.5000 0.5000 0.5000
Pb1 Pb 0.0000 0.0000 0.3450
Pb2 Pb 0.0000 0.0000 0.6550
Pb3 Pb 0.5000 0.5000 0.1550
Pb4 Pb 0.5000 0.5000 0.8450
Se1 Se 0.0000 0.5000 0.2500
Se2 Se 0.0000 0.5000 0.7500
Se3 Se 0.5000 0.0000 0.2500
Se4 Se 0.5000 0.0000 0.7500
```

=====

Entry 7:
Computed, not measured: KLiPd2F6 after structural relaxation at the PBE level of DFT.

Values from the calculation:
Raw formation energy, eV/atom: -1.81
Volume, Å³/f.u.: 145.7
ρ, g/cm3: 4.25
Crystal system: triclinic
Space-group type: No. 1

CIF file:
```
data_KLiPd2F6
_chemical_formula_sum 'K1 Li1 Pd2 F6'
_cell_length_a 5.7690
_cell_length_b 5.7742
_cell_length_c 6.0464
_cell_angle_alpha 61.52
_cell_angle_beta 61.53
_cell_angle_gamma 60.04
_space_group_name_H-M_alt 'P 1'
_space_group_IT_number 1
loop_
_space_group_symop_operation_xyz
'x,y,z'
loop_
_atom_site_label
_atom_site_type_symbol
_atom_site_fract_x
_atom_site_fract_y
_atom_site_fract_z
K1 K 0.0000 0.0000 0.0000
Li1 Li 0.5423 0.5424 0.3747
Pd1 Pd 0.2267 0.2269 0.3192
Pd2 Pd 0.7355 0.7358 0.7924
F1 F 0.1166 0.8471 0.5476
F2 F 0.4149 0.5489 0.0898
F3 F 0.4880 0.1165 0.5480
F4 F 0.5491 0.9461 0.0894
F5 F 0.8458 0.4884 0.5477
F6 F 0.9463 0.4153 0.0891
```

=====

Entry 8:
Computed, not measured: RbGe2BiIr after structural relaxation at the PBE level of DFT.

Values from the calculation:
Volume, Å³/f.u.: 164.7
ρ, g/cm3: 6.37
Crystal system: tetragonal
Space-group type: No. 123
D(E_F), states/eV/atom: 0.6365
E_form, eV/f.u.: 4.6

CIF file:
```
data_RbGe2BiIr
_chemical_formula_sum 'Rb1 Ge2 Bi1 Ir1'
_cell_length_a 5.6740
_cell_length_b 5.6740
_cell_length_c 5.1145
_cell_angle_alpha 90.00
_cell_angle_beta 90.00
_cell_angle_gamma 90.00
_space_group_name_H-M_alt 'P 1'
_space_group_IT_number 1
loop_
_space_group_symop_operation_xyz
'x,y,z'
loop_
_atom_site_label
_atom_site_type_symbol
_atom_site_fract_x
_atom_site_fract_y
_atom_site_fract_z
Rb1 Rb 0.0000 0.0000 0.0000
Ge1 Ge 0.0000 0.5000 0.5000
Ge2 Ge 0.5000 0.0000 0.5000
Bi1 Bi 0.5000 0.5000 0.5000
Ir1 Ir 0.5000 0.5000 0.0000
```

=====

Entry 9:
Computed, not measured: In4Ir after structural relaxation at the PBE level of DFT.

Values from the calculation:
Volume, Å³/f.u.: 140.5
ρ, g/cm3: 7.70
Crystal system: cubic
Energy above the most stable polymorph in this dataset, eV/f.u.: 0.00
Space-group type: No. 221
D(E_F), states/eV/atom: 0.3867
E_form, eV/f.u.: -0.1

CIF file:
```
data_In4Ir
_chemical_formula_sum 'In4 Ir1'
_cell_length_a 5.1988
_cell_length_b 5.1988
_cell_length_c 5.1988
_cell_angle_alpha 90.00
_cell_angle_beta 90.00
_cell_angle_gamma 90.00
_space_group_name_H-M_alt 'P 1'
_space_group_IT_number 1
loop_
_space_group_symop_operation_xyz
'x,y,z'
loop_
_atom_site_label
_atom_site_type_symbol
_atom_site_fract_x
_atom_site_fract_y
_atom_site_fract_z
In1 In 0.0000 0.0000 0.0000
In2 In 0.0000 0.5000 0.5000
In3 In 0.5000 0.0000 0.5000
In4 In 0.5000 0.5000 0.0000
Ir1 Ir 0.5000 0.5000 0.5000
```

=====

Entry 10:
Computed, not measured: Ba3Se after structural relaxation at the PBE level of DFT.

Values from the calculation:
Raw formation energy, eV/atom: -0.47
Volume, Å³/f.u.: 160.8
ρ, g/cm3: 5.07
Crystal system: hexagonal
Energy above the most stable polymorph in this dataset, eV/f.u.: 1.81
Space-group type: No. 194
D(E_F), states/eV/atom: 1.3187

CIF file:
```
data_Ba3Se
_chemical_formula_sum 'Ba12 Se4'
_cell_length_a 7.8971
_cell_length_b 7.8971
_cell_length_c 11.9072
_cell_angle_alpha 90.00
_cell_angle_beta 90.00
_cell_angle_gamma 120.00
_space_group_name_H-M_alt 'P 1'
_space_group_IT_number 1
loop_
_space_group_symop_operation_xyz
'x,y,z'
loop_
_atom_site_label
_atom_site_type_symbol
_atom_site_fract_x
_atom_site_fract_y
_atom_site_fract_z
Ba1 Ba 0.0000 0.5000 0.0000
Ba2 Ba 0.0000 0.5000 0.5000
Ba3 Ba 0.1546 0.3092 0.2500
Ba4 Ba 0.1546 0.8454 0.2500
Ba5 Ba 0.3092 0.1546 0.7500
Ba6 Ba 0.5000 0.0000 0.0000
Ba7 Ba 0.5000 0.0000 0.5000
Ba8 Ba 0.5000 0.5000 0.0000
Ba9 Ba 0.5000 0.5000 0.5000
Ba10 Ba 0.6908 0.8454 0.2500
Ba11 Ba 0.8454 0.1546 0.7500
Ba12 Ba 0.8454 0.6908 0.7500
Se1 Se 0.0000 0.0000 0.0000
Se2 Se 0.0000 0.0000 0.5000
Se3 Se 0.3333 0.6667 0.7500
Se4 Se 0.6667 0.3333 0.2500
```

=====

Entry 11:
Computed, not measured: NaTmMg2Br8 after structural relaxation at the PBE level of DFT.

Values from the calculation:
Raw formation energy, eV/atom: -1.56
Volume, Å³/f.u.: 357.1
ρ, g/cm3: 4.09
Crystal system: monoclinic
Space-group type: No. 10
D(E_F), states/eV/atom: 0.0000

CIF file:
```
data_NaTmMg2Br8
_chemical_formula_sum 'Na1 Tm1 Mg2 Br8'
_cell_length_a 6.4791
_cell_length_b 8.2133
_cell_length_c 6.7097
_cell_angle_alpha 90.00
_cell_angle_beta 90.18
_cell_angle_gamma 90.00
_space_group_name_H-M_alt 'P 1'
_space_group_IT_number 1
loop_
_space_group_symop_operation_xyz
'x,y,z'
loop_
_atom_site_label
_atom_site_type_symbol
_atom_site_fract_x
_atom_site_fract_y
_atom_site_fract_z
Na1 Na 0.0000 0.0000 0.0000
Tm1 Tm 0.0000 0.5000 0.0000
Mg1 Mg 0.5000 0.2381 0.5000
Mg2 Mg 0.5000 0.7619 0.5000
Br1 Br 0.2321 0.2626 0.1829
Br2 Br 0.2321 0.7374 0.1829
Br3 Br 0.2817 0.5000 0.6721
Br4 Br 0.2879 0.0000 0.6635
Br5 Br 0.7121 0.0000 0.3365
Br6 Br 0.7183 0.5000 0.3279
Br7 Br 0.7679 0.2626 0.8171
Br8 Br 0.7679 0.7374 0.8171
```

=====

Entry 12:
Computed, not measured: La2Mn2Tc after structural relaxation at the PBE level of DFT.

Values from the calculation:
Volume, Å³/f.u.: 100.3
ρ, g/cm3: 8.04
Crystal system: tetragonal
Space-group type: No. 127
D(E_F), states/eV/atom: 1.2202
E_form, eV/f.u.: 1.7

CIF file:
```
data_La2Mn2Tc
_chemical_formula_sum 'La4 Mn4 Tc2'
_cell_length_a 6.3283
_cell_length_b 6.3283
_cell_length_c 5.0095
_cell_angle_alpha 90.00
_cell_angle_beta 90.00
_cell_angle_gamma 90.00
_space_group_name_H-M_alt 'P 1'
_space_group_IT_number 1
loop_
_space_group_symop_operation_xyz
'x,y,z'
loop_
_atom_site_label
_atom_site_type_symbol
_atom_site_fract_x
_atom_site_fract_y
_atom_site_fract_z
La1 La 0.1824 0.3176 0.0000
La2 La 0.3176 0.8176 0.0000
La3 La 0.6824 0.1824 0.0000
La4 La 0.8176 0.6824 0.0000
Mn1 Mn 0.1231 0.6231 0.5000
Mn2 Mn 0.3769 0.1231 0.5000
Mn3 Mn 0.6231 0.8769 0.5000
Mn4 Mn 0.8769 0.3769 0.5000
Tc1 Tc 0.0000 0.0000 0.5000
Tc2 Tc 0.5000 0.5000 0.5000
```